Entry 1:
VASP calculation (PBE-GGA) on a relaxed structure of InIr9.

a = 2.750 Å, b = 3.873 Å, c = 40.803 Å
α = 90.00°, β = 90.00°, γ = 90.00°
Atoms (fractional coordinates):
In  0.500  0.500  0.325
In  0.000  0.000  0.675
Ir  0.000  0.000  0.017
Ir  0.500  0.500  0.050
Ir  0.000  0.000  0.084
Ir  0.500  0.500  0.118
Ir  0.000  0.000  0.151
Ir  0.500  0.500  0.184
Ir  0.000  0.000  0.218
Ir  0.500  0.500  0.251
Ir  0.000  0.000  0.284
Ir  0.500  0.500  0.716
Ir  0.000  0.000  0.749
Ir  0.500  0.500  0.782
Ir  0.000  0.000  0.816
Ir  0.500  0.500  0.849
Ir  0.000  0.000  0.882
Ir  0.500  0.500  0.916
Ir  0.000  0.000  0.950
Ir  0.500  0.500  0.983

Summary:
The value obtained for the mass density is 14.10 Mg/m³. The value obtained for the electronic total energy is -8.1875 eV/atom. The energy above the most stable polymorph in this dataset comes out at 0 meV/atom.

Entry 2:
VASP calculation (PBE-GGA) on a relaxed structure of LuNbCoPb.

a = 4.792 Å, b = 4.792 Å, c = 4.792 Å
α = 60.00°, β = 60.00°, γ = 60.00°
Atoms (fractional coordinates):
Co  0.750  0.750  0.750
Lu  0.500  0.500  0.500
Nb  0.250  0.250  0.250
Pb  0.000  0.000  0.000

Summary:
The value obtained for the mass density is 11.40 Mg/m³. The value obtained for the electronic total energy is -6.0168 eV/atom. The energy above the most stable polymorph in this dataset comes out at 0 meV/atom.

Entry 3:
VASP calculation (PBE-GGA) on a relaxed structure of Er2SiO5.

a = 6.668 Å, b = 7.902 Å, c = 9.465 Å
α = 90.84°, β = 110.62°, γ = 114.95°
Atoms (fractional coordinates):
Er  0.327  0.108  0.036
Er  0.930  0.446  0.165
Er  0.819  0.054  0.335
Er  0.683  0.392  0.464
Er  0.317  0.608  0.536
Er  0.181  0.946  0.665
Er  0.070  0.554  0.835
Er  0.673  0.892  0.964
O  0.191  0.459  0.059
O  0.716  0.138  0.101
O  0.052  0.962  0.139
O  0.620  0.771  0.175
O  0.588  0.416  0.179
O  0.492  0.084  0.321
O  0.175  0.729  0.325
O  0.450  0.538  0.361
O  0.977  0.362  0.399
O  0.172  0.041  0.441
O  0.828  0.959  0.559
O  0.023  0.638  0.601
O  0.550  0.462  0.639
O  0.825  0.271  0.675
O  0.508  0.916  0.679
O  0.412  0.584  0.821
O  0.380  0.229  0.825
O  0.948  0.038  0.861
O  0.284  0.862  0.899
O  0.809  0.541  0.941
Si  0.465  0.556  0.192
Si  0.217  0.944  0.308
Si  0.783  0.056  0.692
Si  0.535  0.444  0.808

Summary:
The value obtained for the mass density is 7.08 Mg/m³. The value obtained for the electronic total energy is -8.3133 eV/atom. The energy above the most stable polymorph in this dataset comes out at 0 meV/atom.

Entry 4:
VASP calculation (PBE-GGA) on a relaxed structure of CsTaTeAuS2.

a = 8.915 Å, b = 8.915 Å, c = 10.343 Å
α = 90.00°, β = 90.00°, γ = 156.20°
Atoms (fractional coordinates):
Au  0.040  0.960  0.250
Au  0.960  0.040  0.750
Cs  0.722  0.278  0.250
Cs  0.278  0.722  0.750
S  0.098  0.902  0.038
S  0.098  0.902  0.462
S  0.902  0.098  0.538
S  0.902  0.098  0.962
Ta  0.500  0.500  0.000
Ta  0.500  0.500  0.500
Te  0.416  0.584  0.250
Te  0.584  0.416  0.750

Summary:
The value obtained for the mass density is 7.04 Mg/m³. The value obtained for the electronic total energy is -5.1279 eV/atom.

Among the records above, which one has the lowest electronic total energy?
Er2SiO5